(1)
Crystalline HoHf3P4 at its relaxed geometry. Source: Alexandria via LeMat-Bulk, functional PBE.

The structure in extended XYZ format:
```
8
Lattice="3.773 -5.320 0.000 3.773 5.320 0.000 0.000 0.000 3.755" Properties=species:S:1:pos:R:3 pbc="T T T"
Ho 0.000 0.000 0.000
Hf 1.886 2.660 1.877
Hf 1.886 -2.660 1.877
Hf 3.773 0.000 0.000
P 3.773 2.606 0.000
P 1.964 0.000 1.877
P 5.582 0.000 1.877
P 3.773 -2.606 0.000
```

Properties
**Crystal system**: orthorhombic
**ΔH_f (0 K)**: -1.328 eV/atom

(2)
Crystalline LiTiTlPd at its relaxed geometry. Source: Alexandria via LeMat-Bulk, functional PBE.

The structure in extended XYZ format:
```
4
Lattice="0.000 3.214 3.214 3.214 0.000 3.214 3.214 3.214 0.000" Properties=species:S:1:pos:R:3 pbc="T T T"
Li 0.000 0.000 0.000
Ti 4.820 4.820 4.820
Tl 1.607 1.607 1.607
Pd 3.214 3.214 3.214
```

Properties
**Crystal system**: cubic
**ΔH_f (0 K)**: -0.281 eV/atom

(3)
Crystalline TaHIr3 at its relaxed geometry. Source: Alexandria via LeMat-Bulk, functional PBE.

The structure in extended XYZ format:
```
10
Lattice="-2.793 2.796 4.038 2.793 -2.796 4.038 2.793 2.796 -4.038" Properties=species:S:1:pos:R:3 pbc="T T T"
Ta 0.000 0.000 1.906
Ta 0.000 0.000 6.170
H 0.000 2.796 0.000
H 0.000 0.000 4.038
Ir 1.401 1.370 0.000
Ir 4.186 1.370 0.000
Ir 2.793 0.000 1.993
Ir 0.000 2.796 2.044
Ir -1.393 1.426 4.038
Ir 1.393 1.426 4.038
```

Properties
**Excess energy over the best structure of this formula in the dataset**: 0.0 meV/atom
**Crystal system**: orthorhombic

(4)
Crystalline YCuSi2 at its relaxed geometry. Source: Alexandria via LeMat-Bulk, functional PBE.

The structure in extended XYZ format:
```
4
Lattice="-1.967 1.967 4.564 1.967 -1.967 4.564 1.967 1.967 -4.564" Properties=species:S:1:pos:R:3 pbc="T T T"
Y 0.000 0.000 0.000
Cu 0.000 0.000 4.564
Si 1.967 0.000 2.282
Si 0.000 1.967 2.282
```

Properties
**Crystal system**: tetragonal
**ΔE_f (raw)**: -0.09 eV per atom

(5)
Crystalline K2NaBr2 at its relaxed geometry. Source: Alexandria via LeMat-Bulk, functional PBE.

The structure in extended XYZ format:
```
10
Lattice="9.137 0.000 0.000 0.000 9.137 0.000 0.000 0.000 4.348" Properties=species:S:1:pos:R:3 pbc="T T T"
K 1.364 3.204 0.000
K 3.204 7.773 0.000
K 5.933 1.364 0.000
K 7.773 5.933 0.000
Na 0.000 0.000 2.174
Na 4.568 4.568 2.174
Br 1.412 5.980 2.174
Br 3.157 1.412 2.174
Br 5.980 7.725 2.174
Br 7.725 3.157 2.174
```

Properties
**Excess energy over the best structure of this formula in the dataset**: 0.0 meV/atom
**Crystal system**: tetragonal
**ΔE_f (raw)**: -1.23 eV per atom

(6)
Crystalline Cs2ZnCd2Au2 at its relaxed geometry. Source: Alexandria via LeMat-Bulk, functional PBE.

The structure in extended XYZ format:
```
7
Lattice="6.084 -2.639 0.000 6.084 2.639 0.000 -5.485 0.000 7.674" Properties=species:S:1:pos:R:3 pbc="T T T"
Cs 1.141 0.000 2.253
Cs 5.542 0.000 5.421
Zn -2.743 0.000 3.837
Cd 4.577 0.000 0.613
Cd 2.106 0.000 7.061
Au -3.136 0.000 6.355
Au 9.819 0.000 1.320
```

Properties
**Crystal system**: monoclinic
**ΔH_f (0 K)**: -0.158 eV/atom